1.
Crystalline Tb12SnRh6 at its relaxed geometry. Source: the Alexandria database, functional PBE-GGA.

abc: 8.595 8.595 8.595
angles: 109.47 109.47 109.47
Fractional positions:
Tb  0.301  0.491  0.189
Tb  0.811  0.699  0.509
Tb  0.301  0.112  0.811
Tb  0.811  0.301  0.112
Tb  0.112  0.811  0.301
Tb  0.491  0.189  0.301
Tb  0.699  0.888  0.189
Tb  0.888  0.189  0.699
Tb  0.189  0.699  0.888
Tb  0.509  0.811  0.699
Tb  0.189  0.301  0.491
Tb  0.699  0.509  0.811
Rh  0.500  0.870  0.370
Rh  0.630  0.500  0.130
Rh  0.370  0.500  0.870
Rh  0.500  0.130  0.630
Rh  0.130  0.630  0.500
Rh  0.870  0.370  0.500
Sn  0.000  0.000  0.000

Results
Crystal system: cubic
Formation energy from the elements in kJ per mole of atoms: -60.95
DFT total energy in eV/atom: -6.09

2.
Crystalline BaSiS at its relaxed geometry. Source: the Alexandria database, functional PBE-GGA.

abc: 5.663 4.016 11.212
angles: 90.00 90.00 134.83
Fractional positions:
Ba  0.146  0.292  0.204
Ba  0.146  0.292  0.796
Si  0.652  0.305  0.000
Si  0.427  0.854  0.500
S  0.648  0.295  0.343
S  0.648  0.295  0.657

Results
ΔE_f (raw) in eV/atom: -0.603
Crystal system: orthorhombic
DFT total energy in eV/atom: -4.43

3.
Crystalline YTa2H2 at its relaxed geometry. Source: the Alexandria database, functional PBE-GGA.

abc: 7.576 7.576 2.821
angles: 90.00 90.00 90.00
Fractional positions:
Y  0.500  0.500  0.000
Y  0.000  0.000  0.000
Ta  0.880  0.620  0.000
Ta  0.120  0.380  0.000
Ta  0.620  0.120  0.000
Ta  0.380  0.880  0.000
H  0.595  0.905  0.500
H  0.405  0.095  0.500
H  0.095  0.595  0.500
H  0.905  0.405  0.500

Results
Crystal system: tetragonal
ΔE to the lowest computed polymorph in meV/atom: 796
DFT total energy in eV/atom: -6.50

4.
Crystalline Ce3Pt4 at its relaxed geometry. Source: the Alexandria database, functional PBE-GGA.

abc: 8.052 8.052 8.052
angles: 114.52 114.52 114.52
Fractional positions:
Ce  0.406  0.027  0.281
Ce  0.281  0.406  0.027
Ce  0.027  0.281  0.406
Ce  0.594  0.973  0.719
Ce  0.973  0.719  0.594
Ce  0.719  0.594  0.973
Pt  0.060  0.553  0.224
Pt  0.224  0.060  0.553
Pt  0.553  0.224  0.060
Pt  0.000  0.000  0.000
Pt  0.447  0.776  0.940
Pt  0.940  0.447  0.776
Pt  0.776  0.940  0.447
Pt  0.500  0.500  0.500

Results
Crystal system: trigonal
Formation energy from the elements in kJ per mole of atoms: -106.44
ΔE to the lowest computed polymorph in meV/atom: 0
DFT total energy in eV/atom: -7.10

5.
Crystalline Pa2AlZn at its relaxed geometry. Source: the Alexandria database, functional PBE-GGA.

abc: 4.511 4.321 4.321
angles: 90.00 90.00 90.00
Fractional positions:
Al  0.500  0.500  0.500
Pa  0.000  0.500  0.000
Pa  0.000  0.000  0.500
Zn  0.500  0.000  0.000

Results
Crystal system: tetragonal
Formation energy from the elements in kJ per mole of atoms: -8.00
ΔE to the lowest computed polymorph in meV/atom: 0
DFT total energy in eV/atom: -6.09

6.
Crystalline Te4AuCl at its relaxed geometry. Source: the Alexandria database, functional PBE-GGA.

abc: 6.248 6.248 6.248
angles: 60.00 60.00 60.00
Fractional positions:
Te  0.375  0.375  0.875
Te  0.375  0.375  0.375
Te  0.875  0.375  0.375
Te  0.375  0.875  0.375
Au  0.750  0.750  0.750
Cl  0.000  0.000  0.000

Results
ΔE_f (raw) in eV/atom: 0.411
Crystal system: cubic
ΔE to the lowest computed polymorph in meV/atom: 428
DFT total energy in eV/atom: -2.54

7.
Crystalline SrAgSb at its relaxed geometry. Source: the Alexandria database, functional PBE-GGA.

abc: 6.539 6.539 4.779
angles: 68.63 68.63 83.29
Fractional positions:
Sb  0.733  0.762  0.097
Sb  0.384  0.413  0.447
Sr  0.810  0.337  0.772
Sr  0.308  0.839  0.772
Ag  0.220  0.249  0.112
Ag  0.898  0.927  0.432

Results
ΔE_f (raw) in eV/atom: -0.612
Crystal system: monoclinic
DFT total energy in eV/atom: -3.50

8.
Crystalline BaNaBi3 at its relaxed geometry. Source: the Alexandria database, functional PBE-GGA.

abc: 6.440 6.440 6.440
angles: 90.00 90.00 90.00
Fractional positions:
Bi  0.000  0.500  0.000
Bi  0.500  0.000  0.000
Bi  0.000  0.000  0.500
Ba  0.000  0.000  0.000
Na  0.500  0.500  0.500

Results
Crystal system: cubic
Formation energy from the elements in kJ per mole of atoms: 45.96
ΔE to the lowest computed polymorph in meV/atom: 910
DFT total energy in eV/atom: -2.50

9.
Crystalline YUO4 at its relaxed geometry. Source: the Alexandria database, functional PBE-GGA.

abc: 3.786 3.786 5.382
angles: 90.00 90.00 90.00
Fractional positions:
O  0.000  0.500  0.762
O  0.500  0.000  0.238
O  0.000  0.500  0.238
O  0.500  0.000  0.762
U  0.000  0.000  0.000
Y  0.500  0.500  0.500

Results
ΔE_f (raw) in eV/atom: -3.436
Crystal system: tetragonal
DFT total energy in eV/atom: -9.70

10.
Crystalline ErNpTl at its relaxed geometry. Source: the Alexandria database, functional PBE-GGA.

abc: 3.604 3.604 14.492
angles: 82.86 82.86 60.00
Fractional positions:
Tl  0.137  0.137  0.588
Tl  0.863  0.863  0.412
Er  0.591  0.591  0.226
Er  0.409  0.409  0.774
Np  0.319  0.319  0.043
Np  0.681  0.681  0.957

Results
Crystal system: trigonal
Formation energy from the elements in kJ per mole of atoms: 2.22
DFT total energy in eV/atom: -6.60